This record from Alexandria via LeMat-Bulk describes an optimized crystal structure of BaIr2Rh. The functional is PBE.

The calculation puts the energy relative to the elements at 0.73 eV per atom. As for the energy: -0.442 Ry per atom. For the energy relative to the lowest polymorph listed for this composition, the calculation gives 767 meV/atom.

The structure belongs to space group Cmmm (No. 65); the cell edges are 5.8686, 8.7808 and 2.9538 Å and the angles 90.00°, 90.00° and 90.00°. The inequivalent atoms are Ba at (0.0000, 0.0000, 0.0000), Ir at (0.2500, 0.2500, 0.5000) and Rh at (0.0000, 0.5000, 0.0000).